Sc3Pt | meta-GGA SCAN | PBEsol geometry Values from VASP.

Results
Size of the total moment = 0.88 μB/cell
Symmetry = P-6m2 (187)
Calculated formation energy = -57.5 kJ per mole of atoms

The structure in Quantum ESPRESSO input format:
```
&SYSTEM
  ibrav = 0, nat = 4, ntyp = 2
/
ATOMIC_SPECIES
Sc 44.96 Sc.upf
Pt 195.08 Pt.upf
CELL_PARAMETERS angstrom
-1.585 0.743 2.963
-1.804 -1.258 -2.648
1.481 -8.029 2.807
ATOMIC_POSITIONS crystal
Sc 0.667 0.333 0.204
Sc 0.000 0.000 0.500
Pt 0.000 0.000 0.000
Sc 0.667 0.333 0.796
```

---

CdHg | meta-GGA SCAN | PBEsol geometry Values from VASP.

Results
Size of the total moment = 0.00 μB/cell
Symmetry = P6_3/mmc (194)
Calculated formation energy = 0.2 kJ per mole of atoms

The structure in Quantum ESPRESSO input format:
```
&SYSTEM
  ibrav = 0, nat = 4, ntyp = 2
/
ATOMIC_SPECIES
Cd 112.41 Cd.upf
Hg 200.59 Hg.upf
CELL_PARAMETERS angstrom
4.380 0.000 0.000
-2.190 3.794 0.000
0.000 0.000 5.883
ATOMIC_POSITIONS crystal
Cd 0.000 0.000 0.000
Hg 0.667 0.333 0.750
Hg 0.333 0.667 0.250
Cd 0.000 0.000 0.500
```

---

HfFeF6 | meta-GGA SCAN | PBEsol geometry Values from VASP.

Results
Size of the total moment = 4.00 μB/cell
Symmetry = Fm-3m (225)
E_form (uncorrected) = -3330 meV/atom

The structure in Quantum ESPRESSO input format:
```
&SYSTEM
  ibrav = 0, nat = 8, ntyp = 3
/
ATOMIC_SPECIES
F 19.00 F.upf
Hf 178.49 Hf.upf
Fe 55.84 Fe.upf
CELL_PARAMETERS angstrom
5.692 -0.018 -0.025
-2.831 4.938 0.025
-2.831 -1.646 4.656
ATOMIC_POSITIONS crystal
F 0.000 0.253 0.747
F 0.000 0.747 0.747
F 0.000 0.253 0.253
Hf 0.000 0.500 0.500
F 0.000 0.747 0.253
Fe 0.000 0.000 0.000
F 0.506 0.253 0.253
F 0.494 0.747 0.747
```

---

Hg2GePAu | meta-GGA SCAN | PBEsol geometry Values from VASP.

Results
Size of the total moment = 0.00 μB/cell
Symmetry = P4/mmm (123)
Calculated formation energy = 57.0 kJ per mole of atoms

The structure in Quantum ESPRESSO input format:
```
&SYSTEM
  ibrav = 0, nat = 5, ntyp = 4
/
ATOMIC_SPECIES
Ge 72.64 Ge.upf
P 30.97 P.upf
Au 196.97 Au.upf
Hg 200.59 Hg.upf
CELL_PARAMETERS angstrom
4.621 0.000 0.000
0.000 5.061 0.000
0.000 0.000 5.061
ATOMIC_POSITIONS crystal
Ge 0.500 0.500 0.500
P 0.000 0.000 0.000
Au 0.500 0.000 0.000
Hg 0.000 0.000 0.500
Hg 0.000 0.500 0.000
```

---

BeSbTe2 | meta-GGA SCAN | PBEsol geometry Values from VASP.

Results
Size of the total moment = 0.00 μB/cell
Distance to the lowest polymorph of the same formula = 0.00 kcal/mol of atoms
Symmetry = C2/m (12)
E_form (uncorrected) = 104 meV/atom

The structure in Quantum ESPRESSO input format:
```
&SYSTEM
  ibrav = 0, nat = 4, ntyp = 3
/
ATOMIC_SPECIES
Te 127.60 Te.upf
Be 9.01 Be.upf
Sb 121.76 Sb.upf
CELL_PARAMETERS angstrom
3.889 0.000 0.000
1.945 3.378 0.001
1.945 1.123 7.215
ATOMIC_POSITIONS crystal
Te 0.270 0.765 0.696
Te 0.730 0.235 0.304
Be 0.000 0.500 0.500
Sb 0.500 0.000 0.000
```

---

CsNdHgSe3 | meta-GGA SCAN | PBEsol geometry Values from VASP.

Results
Size of the total moment = 0.00 μB/cell
Symmetry = Cmcm (63)
E_form (uncorrected) = -1426 meV/atom

The structure in Quantum ESPRESSO input format:
```
&SYSTEM
  ibrav = 0, nat = 12, ntyp = 4
/
ATOMIC_SPECIES
Hg 200.59 Hg.upf
Cs 132.91 Cs.upf
Se 78.96 Se.upf
Nd 144.24 Nd.upf
CELL_PARAMETERS angstrom
-1.237 3.830 -1.528
-6.908 -4.364 0.715
-1.287 3.745 10.427
ATOMIC_POSITIONS crystal
Hg 0.459 0.918 0.250
Cs 0.254 0.508 0.750
Cs 0.746 0.492 0.250
Se 0.624 0.249 0.548
Nd 0.000 0.000 0.500
Hg 0.541 0.082 0.750
Se 0.376 0.751 0.452
Nd 0.000 0.000 0.000
Se 0.065 0.131 0.250
Se 0.935 0.869 0.750
Se 0.624 0.249 0.952
Se 0.376 0.751 0.048
```

---

LiSi2Ir2 | meta-GGA SCAN | PBEsol geometry Values from VASP.

Results
Size of the total moment = 0.00 μB/cell
Symmetry = I4/mmm (139)
E_form (uncorrected) = -635 meV/atom

The structure in Quantum ESPRESSO input format:
```
&SYSTEM
  ibrav = 0, nat = 5, ntyp = 3
/
ATOMIC_SPECIES
Si 28.09 Si.upf
Ir 192.22 Ir.upf
Li 6.94 Li.upf
CELL_PARAMETERS angstrom
3.674 0.000 0.000
0.000 3.674 0.000
-1.837 -1.837 5.582
ATOMIC_POSITIONS crystal
Si 0.250 0.750 0.500
Ir 0.384 0.384 0.768
Ir 0.616 0.616 0.232
Li 0.000 0.000 0.000
Si 0.750 0.250 0.500
```

---

As2PtPb | meta-GGA SCAN | PBEsol geometry Values from VASP.

Results
Size of the total moment = 0.00 μB/cell
Symmetry = Pmmm (47)
Calculated formation energy = 33.8 kJ per mole of atoms

The structure in Quantum ESPRESSO input format:
```
&SYSTEM
  ibrav = 0, nat = 4, ntyp = 3
/
ATOMIC_SPECIES
As 74.92 As.upf
Pb 207.20 Pb.upf
Pt 195.08 Pt.upf
CELL_PARAMETERS angstrom
3.571 0.000 0.000
0.000 4.648 0.000
0.000 0.000 4.733
ATOMIC_POSITIONS crystal
As 0.500 0.000 0.500
Pb 0.500 0.500 0.000
As 0.000 0.000 0.000
Pt 0.000 0.500 0.500
```